! La2FeCuF (PBE+U, relaxed); values from VASP
&SYSTEM
  ibrav = 0, nat = 5, ntyp = 4
/
ATOMIC_SPECIES
La 138.91 La.upf
F 19.00 F.upf
Fe 55.84 Fe.upf
Cu 63.55 Cu.upf
CELL_PARAMETERS angstrom
5.7955 0.0000 0.0000
0.0000 3.9485 0.0000
0.0000 0.0000 5.7955
ATOMIC_POSITIONS crystal
La 0.5000 0.0000 0.0000
F 0.0000 0.5000 0.0000
Fe 0.5000 0.5000 0.5000
Cu 0.0000 0.0000 0.0000
La 0.0000 0.0000 0.5000
! - VASP energy (eV per formula unit) = -21.234
! - DOS at the Fermi energy (states/eV per atom) = 1.2566
! - spin magnetization (Bohr magnetons per cell) = 3.27